Entry 1:
Below is crystalline Ag3BiSb at its relaxed geometry, with properties calculated at the GGA-PBE level.

Cell lengths 7.433, 7.804, 9.138 Å; angles 90.00, 119.68, 90.00 degrees
Element x y z (fractional)
1 Ag 0.068 0.153 0.115
2 Ag 0.068 0.347 0.615
3 Ag 0.237 0.603 0.887
4 Ag 0.237 0.897 0.387
5 Ag 0.374 0.603 0.633
6 Ag 0.374 0.897 0.133
7 Ag 0.626 0.103 0.867
8 Ag 0.626 0.397 0.367
9 Ag 0.763 0.103 0.613
10 Ag 0.763 0.397 0.113
11 Ag 0.932 0.653 0.385
12 Ag 0.932 0.847 0.885
13 Bi 0.190 0.560 0.204
14 Bi 0.190 0.940 0.704
15 Bi 0.810 0.060 0.296
16 Bi 0.810 0.440 0.796
17 Sb 0.353 0.249 0.498
18 Sb 0.353 0.251 0.998
19 Sb 0.647 0.749 0.002
20 Sb 0.647 0.751 0.502

## Properties
* formation energy from raw total energies: 0.098 eV per atom

=====

Entry 2:
Below is crystalline U2NiRu5 at its relaxed geometry, with properties calculated at the GGA-PBE level.

Cell lengths 5.600, 11.194, 4.005 Å; angles 90.00, 90.00, 90.00 degrees
Element x y z (fractional)
1 U 0.237 0.127 0.000
2 U 0.263 0.627 0.000
3 U 0.737 0.373 0.000
4 U 0.763 0.873 0.000
5 Ni 0.000 0.500 0.500
6 Ni 0.500 0.000 0.500
7 Ru 0.000 0.000 0.500
8 Ru 0.018 0.747 0.500
9 Ru 0.234 0.377 0.000
10 Ru 0.266 0.877 0.000
11 Ru 0.482 0.247 0.500
12 Ru 0.500 0.500 0.500
13 Ru 0.518 0.753 0.500
14 Ru 0.734 0.123 0.000
15 Ru 0.766 0.623 0.000
16 Ru 0.982 0.253 0.500

## Properties
* formation energy from the elements: -337 meV per atom

=====

Entry 3:
Below is crystalline Li3PW at its relaxed geometry, with properties calculated at the GGA-PBE level.

Cell lengths 4.954, 4.954, 4.954 Å; angles 90.00, 90.00, 90.00 degrees
Element x y z (fractional)
1 Li 0.000 0.000 0.500
2 Li 0.000 0.500 0.000
3 Li 0.500 0.000 0.000
4 P 0.500 0.500 0.500
5 W 0.000 0.000 0.000

## Properties
* formation energy from the elements: 1638 meV per atom

=====

Entry 4:
Below is crystalline ScCd6Pd2 at its relaxed geometry, with properties calculated at the GGA-PBE level.

Cell lengths 7.287, 7.287, 7.045 Å; angles 105.86, 105.86, 30.05 degrees
Element x y z (fractional)
1 Sc 0.000 0.000 0.000
2 Cd 0.099 0.099 0.640
3 Cd 0.209 0.209 0.329
4 Cd 0.336 0.336 0.018
5 Cd 0.664 0.664 0.982
6 Cd 0.791 0.791 0.671
7 Cd 0.901 0.901 0.360
8 Pd 0.450 0.450 0.697
9 Pd 0.550 0.550 0.303

## Properties
* formation energy from the elements: -287 meV per atom

=====

Entry 5:
Below is crystalline BeSiSn2 at its relaxed geometry, with properties calculated at the GGA-PBE level.

Cell lengths 5.390, 5.390, 13.547 Å; angles 90.00, 90.00, 90.00 degrees
Element x y z (fractional)
1 Be 0.000 0.000 0.000
2 Be 0.000 0.500 0.250
3 Be 0.500 0.000 0.750
4 Be 0.500 0.500 0.500
5 Si 0.000 0.000 0.500
6 Si 0.000 0.500 0.750
7 Si 0.500 0.000 0.250
8 Si 0.500 0.500 0.000
9 Sn 0.214 0.250 0.125
10 Sn 0.250 0.714 0.375
11 Sn 0.250 0.786 0.875
12 Sn 0.286 0.250 0.625
13 Sn 0.714 0.750 0.625
14 Sn 0.750 0.214 0.875
15 Sn 0.750 0.286 0.375
16 Sn 0.786 0.750 0.125

## Properties
* formation energy from raw total energies: 0.431 eV per atom

=====

Entry 6:
Below is crystalline Sr2LaCl at its relaxed geometry, with properties calculated at the GGA-PBE level.

Cell lengths 5.041, 5.041, 12.641 Å; angles 90.00, 90.00, 90.00 degrees
Element x y z (fractional)
1 Sr 0.000 0.500 0.250
2 Sr 0.000 0.500 0.750
3 Sr 0.500 0.000 0.250
4 Sr 0.500 0.000 0.750
5 La 0.000 0.000 0.000
6 La 0.500 0.500 0.500
7 Cl 0.000 0.000 0.500
8 Cl 0.500 0.500 0.000

## Properties
* formation energy from raw total energies: -0.168 eV per atom

=====

Entry 7:
Below is crystalline BaLi4Dy at its relaxed geometry, with properties calculated at the GGA-PBE level.

Cell lengths 6.219, 6.219, 6.219 Å; angles 60.00, 60.00, 60.00 degrees
Element x y z (fractional)
1 Ba 0.000 0.000 0.000
2 Li 0.378 0.378 0.378
3 Li 0.378 0.378 0.867
4 Li 0.378 0.867 0.378
5 Li 0.867 0.378 0.378
6 Dy 0.750 0.750 0.750

## Properties
* formation energy from the elements: 144 meV per atom

=====

Entry 8:
Below is crystalline TbCCl at its relaxed geometry, with properties calculated at the GGA-PBE level.

Cell lengths 3.675, 3.767, 11.022 Å; angles 87.58, 80.65, 60.81 degrees
Element x y z (fractional)
1 Tb 0.000 0.000 0.000
2 Tb 0.311 0.686 0.683
3 C 0.743 0.637 0.873
4 C 0.943 0.313 0.795
5 Cl 0.053 0.368 0.514
6 Cl 0.576 0.687 0.165

## Properties
* formation energy from raw total energies: -1.046 eV per atom

=====

Entry 9:
Below is crystalline Na2Cd2Br7 at its relaxed geometry, with properties calculated at the GGA-PBE level.

Cell lengths 7.821, 7.821, 6.929 Å; angles 91.98, 91.98, 108.80 degrees
Element x y z (fractional)
1 Na 0.199 0.801 0.000
2 Na 0.801 0.199 0.000
3 Cd 0.207 0.207 0.618
4 Cd 0.793 0.793 0.382
5 Br 0.079 0.453 0.770
6 Br 0.085 0.085 0.253
7 Br 0.453 0.079 0.770
8 Br 0.500 0.500 0.500
9 Br 0.547 0.921 0.230
10 Br 0.915 0.915 0.747
11 Br 0.921 0.547 0.230

## Properties
* formation energy from raw total energies: -0.917 eV per atom

=====

Entry 10:
Below is crystalline TaMoOs2 at its relaxed geometry, with properties calculated at the GGA-PBE level.

Cell lengths 9.415, 2.826, 4.797 Å; angles 90.00, 99.55, 90.00 degrees
Element x y z (fractional)
1 Ta 0.000 0.000 0.000
2 Ta 0.500 0.500 0.000
3 Mo 0.268 0.500 0.290
4 Mo 0.768 0.000 0.290
5 Os 0.014 0.500 0.509
6 Os 0.245 0.000 0.765
7 Os 0.514 0.000 0.509
8 Os 0.745 0.500 0.765

## Properties
* formation energy from the elements: -4 meV per atom

=====

Entry 11:
Below is crystalline LaZrRh2 at its relaxed geometry, with properties calculated at the GGA-PBE level.

Cell lengths 6.719, 6.719, 6.719 Å; angles 90.00, 90.00, 90.00 degrees
Element x y z (fractional)
1 La 0.000 0.000 0.000
2 La 0.000 0.500 0.500
3 La 0.500 0.000 0.500
4 La 0.500 0.500 0.000
5 Zr 0.250 0.250 0.250
6 Zr 0.250 0.750 0.750
7 Zr 0.750 0.250 0.750
8 Zr 0.750 0.750 0.250
9 Rh 0.000 0.000 0.500
10 Rh 0.000 0.500 0.000
11 Rh 0.250 0.250 0.750
12 Rh 0.250 0.750 0.250
13 Rh 0.500 0.000 0.000
14 Rh 0.500 0.500 0.500
15 Rh 0.750 0.250 0.250
16 Rh 0.750 0.750 0.750

## Properties
* formation energy from the elements: -302 meV per atom

=====

Entry 12:
Below is crystalline TbPmGaAu at its relaxed geometry, with properties calculated at the GGA-PBE level.

Cell lengths 4.571, 3.885, 11.315 Å; angles 90.00, 90.00, 90.00 degrees
Element x y z (fractional)
1 Tb 0.000 0.000 0.000
2 Tb 0.000 0.500 0.500
3 Pm 0.500 0.000 0.285
4 Pm 0.500 0.500 0.785
5 Ga 0.500 0.000 0.557
6 Ga 0.500 0.500 0.057
7 Au 0.000 0.000 0.716
8 Au 0.000 0.500 0.216

## Properties
* formation energy from the elements: -688 meV per atom

=====

Entry 13:
Below is crystalline PRh3Se at its relaxed geometry, with properties calculated at the GGA-PBE level.

Cell lengths 4.556, 4.556, 4.556 Å; angles 90.00, 90.00, 90.00 degrees
Element x y z (fractional)
1 P 0.000 0.000 0.000
2 Rh 0.000 0.500 0.500
3 Rh 0.500 0.000 0.500
4 Rh 0.500 0.500 0.000
5 Se 0.500 0.500 0.500

## Properties
* formation energy from raw total energies: 0.792 eV per atom

=====

Entry 14:
Below is crystalline AlRe2Os at its relaxed geometry, with properties calculated at the GGA-PBE level.

Cell lengths 3.049, 4.291, 8.811 Å; angles 90.00, 90.00, 90.00 degrees
Element x y z (fractional)
1 Al 0.000 0.000 0.000
2 Al 0.500 0.500 0.500
3 Re 0.000 0.500 0.258
4 Re 0.000 0.500 0.742
5 Re 0.500 0.000 0.242
6 Re 0.500 0.000 0.758
7 Os 0.000 0.000 0.500
8 Os 0.500 0.500 0.000

## Properties
* formation energy from the elements: -91 meV per atom

=====

Entry 15:
Below is crystalline CdHPdRu2 at its relaxed geometry, with properties calculated at the GGA-PBE level.

Cell lengths 3.898, 3.898, 4.293 Å; angles 90.00, 90.00, 90.00 degrees
Element x y z (fractional)
1 Cd 0.000 0.000 0.000
2 H 0.500 0.500 0.500
3 Pd 0.500 0.500 0.000
4 Ru 0.000 0.500 0.500
5 Ru 0.500 0.000 0.500

=====

Entry 16:
Below is crystalline CdRuCl at its relaxed geometry, with properties calculated at the GGA-PBE level.

Cell lengths 3.087, 3.087, 12.104 Å; angles 90.00, 90.00, 90.00 degrees
Element x y z (fractional)
1 Cd 0.000 0.000 0.000
2 Cd 0.500 0.500 0.500
3 Ru 0.000 0.000 0.650
4 Ru 0.500 0.500 0.150
5 Cl 0.000 0.000 0.285
6 Cl 0.500 0.500 0.785

## Properties
* formation energy from raw total energies: 0.357 eV per atom

=====

Entry 17:
Below is crystalline YHoFe4 at its relaxed geometry, with properties calculated at the GGA-PBE level.

Cell lengths 5.132, 5.132, 5.132 Å; angles 60.00, 60.00, 60.00 degrees
Element x y z (fractional)
1 Y 0.000 0.000 0.000
2 Ho 0.750 0.750 0.750
3 Fe 0.375 0.375 0.375
4 Fe 0.375 0.375 0.874
5 Fe 0.375 0.874 0.375
6 Fe 0.874 0.375 0.375

## Properties
* formation energy from the elements: -82 meV per atom

=====

Entry 18:
Below is crystalline ScNb3Pb at its relaxed geometry, with properties calculated at the GGA-PBE level.

Cell lengths 4.817, 4.817, 4.817 Å; angles 90.00, 90.00, 90.00 degrees
Element x y z (fractional)
1 Sc 0.000 0.000 0.000
2 Nb 0.000 0.000 0.500
3 Nb 0.000 0.500 0.000
4 Nb 0.500 0.000 0.000
5 Pb 0.500 0.500 0.500

## Properties
* formation energy from the elements: 1407 meV per atom

=====

Entry 19:
Below is crystalline PmHoMg4 at its relaxed geometry, with properties calculated at the GGA-PBE level.

Cell lengths 5.253, 6.624, 9.130 Å; angles 90.00, 90.00, 90.00 degrees
Element x y z (fractional)
1 Pm 0.000 0.000 0.000
2 Pm 0.500 0.500 0.500
3 Ho 0.000 0.500 0.000
4 Ho 0.500 0.000 0.500
5 Mg 0.000 0.249 0.334
6 Mg 0.000 0.249 0.666
7 Mg 0.000 0.751 0.334
8 Mg 0.000 0.751 0.666
9 Mg 0.500 0.251 0.166
10 Mg 0.500 0.251 0.834
11 Mg 0.500 0.749 0.166
12 Mg 0.500 0.749 0.834

## Properties
* formation energy from the elements: -77 meV per atom

=====

Entry 20:
Below is crystalline Tb3ZnSb at its relaxed geometry, with properties calculated at the GGA-PBE level.

Cell lengths 10.384, 10.384, 6.956 Å; angles 99.71, 99.71, 21.35 degrees
Element x y z (fractional)
1 Tb 0.000 0.000 0.249
2 Tb 0.000 0.000 0.751
3 Tb 0.186 0.186 0.848
4 Tb 0.188 0.188 0.337
5 Tb 0.812 0.812 0.663
6 Tb 0.814 0.814 0.152
7 Zn 0.408 0.408 0.952
8 Zn 0.592 0.592 0.048
9 Sb 0.405 0.405 0.456
10 Sb 0.595 0.595 0.544

## Properties
* formation energy from raw total energies: -0.481 eV per atom

=====

Entry 21:
Below is crystalline CaY2Ga2 at its relaxed geometry, with properties calculated at the GGA-PBE level.

Cell lengths 8.032, 8.032, 4.037 Å; angles 90.00, 90.00, 90.00 degrees
Element x y z (fractional)
1 Ca 0.000 0.000 0.000
2 Ca 0.500 0.500 0.000
3 Y 0.177 0.323 0.500
4 Y 0.323 0.823 0.500
5 Y 0.677 0.177 0.500
6 Y 0.823 0.677 0.500
7 Ga 0.118 0.618 0.000
8 Ga 0.382 0.118 0.000
9 Ga 0.618 0.882 0.000
10 Ga 0.882 0.382 0.000

## Properties
* formation energy from the elements: -488 meV per atom

=====

Entry 22:
Below is crystalline Pr2Ga4Ir5 at its relaxed geometry, with properties calculated at the GGA-PBE level.

Cell lengths 8.956, 8.060, 5.626 Å; angles 79.57, 62.27, 38.16 degrees
Element x y z (fractional)
1 Pr 0.123 0.123 0.877
2 Pr 0.877 0.877 0.123
3 Ga 0.212 0.527 0.473
4 Ga 0.473 0.788 0.212
5 Ga 0.527 0.212 0.788
6 Ga 0.788 0.473 0.527
7 Ir 0.000 0.000 0.500
8 Ir 0.250 0.250 0.250
9 Ir 0.500 0.500 0.000
10 Ir 0.500 0.500 0.500
11 Ir 0.750 0.750 0.750

## Properties
* formation energy from the elements: -626 meV per atom

=====

Entry 23:
Below is crystalline RbFePt2 at its relaxed geometry, with properties calculated at the GGA-PBE level.

Cell lengths 5.301, 5.301, 16.432 Å; angles 90.00, 90.00, 90.00 degrees
Element x y z (fractional)
1 Rb 0.000 0.250 0.375
2 Rb 0.000 0.750 0.625
3 Rb 0.500 0.250 0.125
4 Rb 0.500 0.750 0.875
5 Fe 0.000 0.250 0.875
6 Fe 0.000 0.750 0.125
7 Fe 0.500 0.250 0.625
8 Fe 0.500 0.750 0.375
9 Pt 0.000 0.000 0.000
10 Pt 0.000 0.500 0.000
11 Pt 0.250 0.250 0.750
12 Pt 0.250 0.750 0.250
13 Pt 0.500 0.000 0.500
14 Pt 0.500 0.500 0.500
15 Pt 0.750 0.250 0.750
16 Pt 0.750 0.750 0.250

## Properties
* formation energy from the elements: 386 meV per atom

=====

Entry 24:
Below is crystalline LaScCd at its relaxed geometry, with properties calculated at the GGA-PBE level.

Cell lengths 5.167, 5.167, 3.712 Å; angles 90.00, 90.00, 120.00 degrees
Element x y z (fractional)
1 La 0.000 0.000 0.000
2 Sc 0.667 0.333 0.500
3 Cd 0.333 0.667 0.500

## Properties
* formation energy from the elements: -89 meV per atom

=====

Entry 25:
Below is crystalline Hf6TlNi at its relaxed geometry, with properties calculated at the GGA-PBE level.

Cell lengths 5.484, 5.484, 5.484 Å; angles 90.09, 90.09, 90.09 degrees
Element x y z (fractional)
1 Hf 0.002 0.499 0.256
2 Hf 0.256 0.002 0.499
3 Hf 0.499 0.256 0.002
4 Hf 0.501 0.744 0.998
5 Hf 0.744 0.998 0.501
6 Hf 0.998 0.501 0.744
7 Tl 0.000 0.000 0.000
8 Ni 0.500 0.500 0.500

## Properties
* formation energy from the elements: 22 meV per atom

=====

Entry 26:
Below is crystalline BeFeTc2 at its relaxed geometry, with properties calculated at the GGA-PBE level.

Cell lengths 2.688, 3.662, 5.043 Å; angles 90.00, 90.00, 90.00 degrees
Element x y z (fractional)
1 Be 0.000 0.000 0.000
2 Fe 0.500 0.500 0.214
3 Tc 0.000 0.000 0.488
4 Tc 0.500 0.500 0.758

## Properties
* formation energy from the elements: 66 meV per atom

=====

no.,N(E_F) (states/eV/cell),VASP energy (eV per atom)
1,6.27,-3.214
2,15.54,-9.679
3,1.65,-3.183
4,3.60,-2.755
5,6.57,-3.857
6,11.19,-2.703
7,6.91,-2.219
8,2.52,-6.279
9,9.64,-2.388
10,7.64,-11.290
11,16.06,-7.347
12,7.72,-4.609
13,8.94,-5.398
14,3.37,-10.059
15,4.69,-5.369
16,4.57,-3.656
17,8.48,-7.564
18,3.45,-6.642
19,9.33,-2.695
20,8.35,-4.338
21,12.41,-4.685
22,5.67,-6.624
23,19.23,-4.992
24,5.01,-4.147
25,10.10,-8.462
26,3.33,-8.164